1.
SbAs2Br2 | PBE | optimized geometry

Computed properties:
**DFT total energy**: -3.285 eV/atom
**E_form (uncorrected)**: 0.07 eV/atom
**Calculated density**: 4.97 g/cm3
**Crystal system**: tetragonal

```
data_SbAs2Br2
_chemical_formula_sum 'Sb2 As4 Br4'
_symmetry_space_group_name_H-M 'P 4/m b m'
_symmetry_Int_Tables_number 127
_symmetry_space_group_name_Hall '-P 4 2ab'
_cell_length_a 7.364
_cell_length_b 7.364
_cell_length_c 5.321
_cell_angle_alpha 90.00
_cell_angle_beta 90.00
_cell_angle_gamma 90.00
loop_
_atom_site_label
_atom_site_fract_x
_atom_site_fract_y
_atom_site_fract_z
Sb1 0.000 0.000 0.000
As1 0.122 0.378 0.000
Br1 0.170 0.330 0.500
```

---

2.
SbAsBr3 | PBE | optimized geometry

Computed properties:
**DFT total energy**: -2.567 eV/atom
**E_form (uncorrected)**: 0.19 eV/atom
**Calculated density**: 4.03 g/cm3
**Crystal system**: cubic

```
data_SbAsBr3
_chemical_formula_sum 'Sb1 As1 Br3'
_symmetry_space_group_name_H-M 'P m -3 m'
_symmetry_Int_Tables_number 221
_symmetry_space_group_name_Hall '-P 4 2 3'
_cell_length_a 5.645
_cell_length_b 5.645
_cell_length_c 5.645
_cell_angle_alpha 90.00
_cell_angle_beta 90.00
_cell_angle_gamma 90.00
loop_
_atom_site_label
_atom_site_fract_x
_atom_site_fract_y
_atom_site_fract_z
Sb1 0.000 0.000 0.000
As1 0.500 0.500 0.500
Br1 0.000 0.000 0.500
```

---

3.
SbAsBr | PBE | optimized geometry

Computed properties:
**DFT total energy**: -3.582 eV/atom
**E_form (uncorrected)**: -0.10 eV/atom
**Calculated density**: 5.38 g/cm3
**Crystal system**: trigonal

```
data_SbAsBr
_chemical_formula_sum 'Sb1 As1 Br1'
_symmetry_space_group_name_H-M 'P 3 m 1'
_symmetry_Int_Tables_number 156
_symmetry_space_group_name_Hall 'P 3 -2"'
_cell_length_a 3.9868
_cell_length_b 3.9868
_cell_length_c 6.2004
_cell_angle_alpha 90.00
_cell_angle_beta 90.00
_cell_angle_gamma 120.00
loop_
_atom_site_label
_atom_site_fract_x
_atom_site_fract_y
_atom_site_fract_z
Sb1 0.0000 0.0000 0.0000
As1 0.6667 0.3333 0.2331
Br1 0.3333 0.6667 0.6459
```

---

4.
SbAsBr | PBE | optimized geometry

Computed properties:
**DFT total energy**: -3.279 eV/atom
**E_form (uncorrected)**: 0.20 eV/atom
**Calculated density**: 5.78 g/cm3
**Crystal system**: orthorhombic

```
data_SbAsBr
_chemical_formula_sum 'Sb4 As4 Br4'
_symmetry_space_group_name_H-M 'F m m 2'
_symmetry_Int_Tables_number 42
_symmetry_space_group_name_Hall 'F 2 -2'
_cell_length_a 4.227
_cell_length_b 5.576
_cell_length_c 13.483
_cell_angle_alpha 90.00
_cell_angle_beta 90.00
_cell_angle_gamma 90.00
loop_
_atom_site_label
_atom_site_fract_x
_atom_site_fract_y
_atom_site_fract_z
Sb1 0.000 0.000 0.000
As1 0.000 0.000 0.635
Br1 0.000 0.000 0.335
```

---

5.
Sb2As2Br | PBE | optimized geometry

Computed properties:
**DFT total energy**: -3.736 eV/atom
**E_form (uncorrected)**: 0.11 eV/atom
**Calculated density**: 6.30 g/cm3
**Crystal system**: tetragonal

```
data_Sb2As2Br
_chemical_formula_sum 'Sb4 As4 Br2'
_symmetry_space_group_name_H-M 'P 4/m b m'
_symmetry_Int_Tables_number 127
_symmetry_space_group_name_Hall '-P 4 2ab'
_cell_length_a 8.293
_cell_length_b 8.293
_cell_length_c 3.629
_cell_angle_alpha 90.00
_cell_angle_beta 90.00
_cell_angle_gamma 90.00
loop_
_atom_site_label
_atom_site_fract_x
_atom_site_fract_y
_atom_site_fract_z
Sb1 0.149 0.351 0.000
As1 0.132 0.632 0.500
Br1 0.000 0.000 0.000
```

---

6.
ScSbAs2Br | PBE | optimized geometry

Computed properties:
**DFT total energy**: -4.299 eV/atom
**E_form (uncorrected)**: -0.01 eV/atom
**Calculated density**: 4.75 g/cm3
**Crystal system**: tetragonal

```
data_ScSbAs2Br
_chemical_formula_sum 'Sc1 Sb1 As2 Br1'
_symmetry_space_group_name_H-M 'P 4/m m m'
_symmetry_Int_Tables_number 123
_symmetry_space_group_name_Hall '-P 4 2'
_cell_length_a 5.275
_cell_length_b 5.275
_cell_length_c 4.983
_cell_angle_alpha 90.00
_cell_angle_beta 90.00
_cell_angle_gamma 90.00
loop_
_atom_site_label
_atom_site_fract_x
_atom_site_fract_y
_atom_site_fract_z
Sc1 0.000 0.000 0.000
Sb1 0.500 0.500 0.500
As1 0.000 0.500 0.000
Br1 0.000 0.000 0.500
```

---

7.
ScSbAs2Br | PBE | optimized geometry

Computed properties:
**DFT total energy**: -3.872 eV/atom
**E_form (uncorrected)**: 0.41 eV/atom
**Calculated density**: 4.45 g/cm3
**Crystal system**: tetragonal

```
data_ScSbAs2Br
_chemical_formula_sum 'Sc1 Sb1 As2 Br1'
_symmetry_space_group_name_H-M 'P 4/m m m'
_symmetry_Int_Tables_number 123
_symmetry_space_group_name_Hall '-P 4 2'
_cell_length_a 5.284
_cell_length_b 5.284
_cell_length_c 5.303
_cell_angle_alpha 90.00
_cell_angle_beta 90.00
_cell_angle_gamma 90.00
loop_
_atom_site_label
_atom_site_fract_x
_atom_site_fract_y
_atom_site_fract_z
Sc1 0.000 0.000 0.000
Sb1 0.500 0.500 0.500
As1 0.000 0.500 0.500
Br1 0.500 0.500 0.000
```

---

8.
ScSbAsBr2 | PBE | optimized geometry

Computed properties:
**DFT total energy**: -3.443 eV/atom
**E_form (uncorrected)**: 0.25 eV/atom
**Calculated density**: 4.08 g/cm3
**Crystal system**: tetragonal

```
data_ScSbAsBr2
_chemical_formula_sum 'Sc1 Sb1 As1 Br2'
_symmetry_space_group_name_H-M 'P 4/m m m'
_symmetry_Int_Tables_number 123
_symmetry_space_group_name_Hall '-P 4 2'
_cell_length_a 5.472
_cell_length_b 5.472
_cell_length_c 5.450
_cell_angle_alpha 90.00
_cell_angle_beta 90.00
_cell_angle_gamma 90.00
loop_
_atom_site_label
_atom_site_fract_x
_atom_site_fract_y
_atom_site_fract_z
Sc1 0.000 0.000 0.000
Sb1 0.500 0.500 0.500
As1 0.500 0.500 0.000
Br1 0.000 0.500 0.500
```

---

9.
ScSbAsBr2 | PBE | optimized geometry

Computed properties:
**DFT total energy**: -4.073 eV/atom
**E_form (uncorrected)**: -0.38 eV/atom
**Calculated density**: 4.52 g/cm3
**Crystal system**: tetragonal

```
data_ScSbAsBr2
_chemical_formula_sum 'Sc1 Sb1 As1 Br2'
_symmetry_space_group_name_H-M 'P 4/m m m'
_symmetry_Int_Tables_number 123
_symmetry_space_group_name_Hall '-P 4 2'
_cell_length_a 5.073
_cell_length_b 5.073
_cell_length_c 5.729
_cell_angle_alpha 90.00
_cell_angle_beta 90.00
_cell_angle_gamma 90.00
loop_
_atom_site_label
_atom_site_fract_x
_atom_site_fract_y
_atom_site_fract_z
Sc1 0.000 0.000 0.000
Sb1 0.500 0.500 0.500
As1 0.000 0.000 0.500
Br1 0.000 0.500 0.000
```

---

10.
SbAsSeBr2 | PBE | optimized geometry

Computed properties:
**DFT total energy**: -2.622 eV/atom
**E_form (uncorrected)**: 0.50 eV/atom
**Calculated density**: 4.26 g/cm3
**Crystal system**: tetragonal

```
data_SbAsSeBr2
_chemical_formula_sum 'Sb1 As1 Se1 Br2'
_symmetry_space_group_name_H-M 'P 4/m m m'
_symmetry_Int_Tables_number 123
_symmetry_space_group_name_Hall '-P 4 2'
_cell_length_a 5.438
_cell_length_b 5.438
_cell_length_c 5.747
_cell_angle_alpha 90.00
_cell_angle_beta 90.00
_cell_angle_gamma 90.00
loop_
_atom_site_label
_atom_site_fract_x
_atom_site_fract_y
_atom_site_fract_z
Sb1 0.000 0.000 0.000
As1 0.000 0.000 0.500
Se1 0.500 0.500 0.500
Br1 0.000 0.500 0.000
```

---

11.
SbAsSeBr2 | PBE | optimized geometry

Computed properties:
**DFT total energy**: -2.838 eV/atom
**E_form (uncorrected)**: 0.28 eV/atom
**Calculated density**: 5.11 g/cm3
**Crystal system**: tetragonal

```
data_SbAsSeBr2
_chemical_formula_sum 'Sb1 As1 Se1 Br2'
_symmetry_space_group_name_H-M 'P 4/m m m'
_symmetry_Int_Tables_number 123
_symmetry_space_group_name_Hall '-P 4 2'
_cell_length_a 5.150
_cell_length_b 5.150
_cell_length_c 5.340
_cell_angle_alpha 90.00
_cell_angle_beta 90.00
_cell_angle_gamma 90.00
loop_
_atom_site_label
_atom_site_fract_x
_atom_site_fract_y
_atom_site_fract_z
Sb1 0.000 0.000 0.000
As1 0.500 0.500 0.500
Se1 0.500 0.500 0.000
Br1 0.000 0.500 0.500
```

---

12.
SbAsSeBr2 | PBE | optimized geometry

Computed properties:
**DFT total energy**: -2.731 eV/atom
**E_form (uncorrected)**: 0.39 eV/atom
**Calculated density**: 4.26 g/cm3
**Crystal system**: tetragonal

```
data_SbAsSeBr2
_chemical_formula_sum 'Sb1 As1 Se1 Br2'
_symmetry_space_group_name_H-M 'P 4/m m m'
_symmetry_Int_Tables_number 123
_symmetry_space_group_name_Hall '-P 4 2'
_cell_length_a 5.513
_cell_length_b 5.513
_cell_length_c 5.578
_cell_angle_alpha 90.00
_cell_angle_beta 90.00
_cell_angle_gamma 90.00
loop_
_atom_site_label
_atom_site_fract_x
_atom_site_fract_y
_atom_site_fract_z
Sb1 0.000 0.000 0.000
As1 0.500 0.500 0.500
Se1 0.000 0.000 0.500
Br1 0.000 0.500 0.000
```

---

13.
SbAsSeBr2 | PBE | optimized geometry

Computed properties:
**DFT total energy**: -2.579 eV/atom
**E_form (uncorrected)**: 0.54 eV/atom
**Calculated density**: 5.00 g/cm3
**Crystal system**: tetragonal

```
data_SbAsSeBr2
_chemical_formula_sum 'Sb1 As1 Se1 Br2'
_symmetry_space_group_name_H-M 'P 4/m m m'
_symmetry_Int_Tables_number 123
_symmetry_space_group_name_Hall '-P 4 2'
_cell_length_a 5.128
_cell_length_b 5.128
_cell_length_c 5.496
_cell_angle_alpha 90.00
_cell_angle_beta 90.00
_cell_angle_gamma 90.00
loop_
_atom_site_label
_atom_site_fract_x
_atom_site_fract_y
_atom_site_fract_z
Sb1 0.000 0.000 0.000
As1 0.500 0.500 0.000
Se1 0.500 0.500 0.500
Br1 0.000 0.500 0.500
```

---

14.
SiSbAsBr2 | PBE | optimized geometry

Computed properties:
**DFT total energy**: -2.806 eV/atom
**E_form (uncorrected)**: 0.70 eV/atom
**Calculated density**: 3.86 g/cm3
**Crystal system**: tetragonal

```
data_SiSbAsBr2
_chemical_formula_sum 'Si1 Sb1 As1 Br2'
_symmetry_space_group_name_H-M 'P 4/m m m'
_symmetry_Int_Tables_number 123
_symmetry_space_group_name_Hall '-P 4 2'
_cell_length_a 5.463
_cell_length_b 5.463
_cell_length_c 5.542
_cell_angle_alpha 90.00
_cell_angle_beta 90.00
_cell_angle_gamma 90.00
loop_
_atom_site_label
_atom_site_fract_x
_atom_site_fract_y
_atom_site_fract_z
Si1 0.000 0.000 0.000
Sb1 0.500 0.500 0.500
As1 0.500 0.500 0.000
Br1 0.000 0.500 0.500
```

---

15.
SiSbAsBr2 | PBE | optimized geometry

Computed properties:
**DFT total energy**: -3.164 eV/atom
**E_form (uncorrected)**: 0.34 eV/atom
**Calculated density**: 4.98 g/cm3
**Crystal system**: tetragonal

```
data_SiSbAsBr2
_chemical_formula_sum 'Si1 Sb1 As1 Br2'
_symmetry_space_group_name_H-M 'P 4/m m m'
_symmetry_Int_Tables_number 123
_symmetry_space_group_name_Hall '-P 4 2'
_cell_length_a 4.933
_cell_length_b 4.933
_cell_length_c 5.271
_cell_angle_alpha 90.00
_cell_angle_beta 90.00
_cell_angle_gamma 90.00
loop_
_atom_site_label
_atom_site_fract_x
_atom_site_fract_y
_atom_site_fract_z
Si1 0.000 0.000 0.000
Sb1 0.500 0.500 0.500
As1 0.000 0.000 0.500
Br1 0.000 0.500 0.000
```

---

16.
SiSbAsBr2 | PBE | optimized geometry

Computed properties:
**DFT total energy**: -2.752 eV/atom
**E_form (uncorrected)**: 0.76 eV/atom
**Calculated density**: 3.77 g/cm3
**Crystal system**: tetragonal

```
data_SiSbAsBr2
_chemical_formula_sum 'Si1 Sb1 As1 Br2'
_symmetry_space_group_name_H-M 'P 4/m m m'
_symmetry_Int_Tables_number 123
_symmetry_space_group_name_Hall '-P 4 2'
_cell_length_a 5.425
_cell_length_b 5.425
_cell_length_c 5.750
_cell_angle_alpha 90.00
_cell_angle_beta 90.00
_cell_angle_gamma 90.00
loop_
_atom_site_label
_atom_site_fract_x
_atom_site_fract_y
_atom_site_fract_z
Si1 0.000 0.000 0.000
Sb1 0.000 0.000 0.500
As1 0.500 0.500 0.000
Br1 0.000 0.500 0.500
```

---

17.
Sr2SbAsBr | PBE | optimized geometry

Computed properties:
**DFT total energy**: -3.180 eV/atom
**E_form (uncorrected)**: -0.42 eV/atom
**Calculated density**: 4.26 g/cm3
**Crystal system**: tetragonal

```
data_Sr2SbAsBr
_chemical_formula_sum 'Sr2 Sb1 As1 Br1'
_symmetry_space_group_name_H-M 'P 4/m m m'
_symmetry_Int_Tables_number 123
_symmetry_space_group_name_Hall '-P 4 2'
_cell_length_a 5.878
_cell_length_b 5.878
_cell_length_c 5.095
_cell_angle_alpha 90.00
_cell_angle_beta 90.00
_cell_angle_gamma 90.00
loop_
_atom_site_label
_atom_site_fract_x
_atom_site_fract_y
_atom_site_fract_z
Sr1 0.000 0.500 0.000
Sb1 0.000 0.000 0.500
As1 0.500 0.500 0.500
Br1 0.500 0.500 0.000
```

---

18.
SrSbAsBr2 | PBE | optimized geometry

Computed properties:
**DFT total energy**: -3.269 eV/atom
**E_form (uncorrected)**: -0.51 eV/atom
**Calculated density**: 4.30 g/cm3
**Crystal system**: tetragonal

```
data_SrSbAsBr2
_chemical_formula_sum 'Sr1 Sb1 As1 Br2'
_symmetry_space_group_name_H-M 'P 4/m m m'
_symmetry_Int_Tables_number 123
_symmetry_space_group_name_Hall '-P 4 2'
_cell_length_a 5.623
_cell_length_b 5.623
_cell_length_c 5.425
_cell_angle_alpha 90.00
_cell_angle_beta 90.00
_cell_angle_gamma 90.00
loop_
_atom_site_label
_atom_site_fract_x
_atom_site_fract_y
_atom_site_fract_z
Sr1 0.000 0.000 0.000
Sb1 0.500 0.500 0.500
As1 0.500 0.500 0.000
Br1 0.000 0.500 0.500
```

---

19.
SrSbAsBr2 | PBE | optimized geometry

Computed properties:
**DFT total energy**: -2.877 eV/atom
**E_form (uncorrected)**: -0.12 eV/atom
**Calculated density**: 3.66 g/cm3
**Crystal system**: tetragonal

```
data_SrSbAsBr2
_chemical_formula_sum 'Sr1 Sb1 As1 Br2'
_symmetry_space_group_name_H-M 'P 4/m m m'
_symmetry_Int_Tables_number 123
_symmetry_space_group_name_Hall '-P 4 2'
_cell_length_a 5.607
_cell_length_b 5.607
_cell_length_c 6.405
_cell_angle_alpha 90.00
_cell_angle_beta 90.00
_cell_angle_gamma 90.00
loop_
_atom_site_label
_atom_site_fract_x
_atom_site_fract_y
_atom_site_fract_z
Sr1 0.000 0.000 0.000
Sb1 0.500 0.500 0.500
As1 0.000 0.000 0.500
Br1 0.000 0.500 0.000
```

---

20.
Sr2SbAsBr | PBE | optimized geometry

Computed properties:
**DFT total energy**: -3.497 eV/atom
**E_form (uncorrected)**: -0.74 eV/atom
**Calculated density**: 3.92 g/cm3
**Crystal system**: tetragonal

```
data_Sr2SbAsBr
_chemical_formula_sum 'Sr2 Sb1 As1 Br1'
_symmetry_space_group_name_H-M 'P 4/m m m'
_symmetry_Int_Tables_number 123
_symmetry_space_group_name_Hall '-P 4 2'
_cell_length_a 6.040
_cell_length_b 6.040
_cell_length_c 5.251
_cell_angle_alpha 90.00
_cell_angle_beta 90.00
_cell_angle_gamma 90.00
loop_
_atom_site_label
_atom_site_fract_x
_atom_site_fract_y
_atom_site_fract_z
Sr1 0.000 0.500 0.000
Sb1 0.000 0.000 0.500
As1 0.000 0.000 0.000
Br1 0.500 0.500 0.500
```